# 1
First-principles (PBE) data for a relaxed ReHRhW2 crystal, as listed in Alexandria via LeMat-Bulk.

```
ReHRhW2
1.0
4.0376 0.0000 0.0000
0.0000 4.0376 0.0000
0.0000 0.0000 3.8778
Rh H W Re
1 1 2 1
direct
0.0000 0.0000 0.5000
0.0000 0.0000 0.0000
0.5000 0.0000 0.0000
0.0000 0.5000 0.0000
0.5000 0.5000 0.5000
```

Summary:
* Fermi-level density of states: 2.53 states/eV per cell
* ΔE to the lowest computed polymorph: 0.00 kJ per mole of atoms
* SG: P4/mmm (123)

=====

# 2
First-principles (PBE) data for a relaxed Li3Cu4Ni crystal, as listed in Alexandria via LeMat-Bulk.

```
Li3Cu4Ni
1.0
-0.1773 -4.9612 -2.2074
-0.9992 1.2883 5.1826
-3.6532 3.9894 -0.5071
Cu Li Ni
4 3 1
direct
0.3187 0.7527 0.0714
0.3420 0.2526 0.0894
0.3187 0.2473 0.5660
0.8368 0.7474 0.0894
0.5835 0.0000 0.5835
0.8243 0.7456 0.5699
0.8243 0.2544 0.0786
0.1026 0.5000 0.6026
```

Summary:
* Fermi-level density of states: 3.34 states/eV per cell
* formation enthalpy at 0 K: 78 meV per atom
* ΔE to the lowest computed polymorph: 8.01 kJ per mole of atoms
* SG: Imm2 (44)

=====

# 3
First-principles (PBE) data for a relaxed HfZr2Zn2 crystal, as listed in Alexandria via LeMat-Bulk.

```
HfZr2Zn2
1.0
-2.6693 0.4019 1.4496
-0.9908 -2.6566 -1.0879
3.3777 -6.2525 7.9530
Zr Zn Hf
2 2 1
direct
0.0000 0.8148 0.3703
0.0000 0.1852 0.6297
0.5000 0.5921 0.8159
0.5000 0.4079 0.1841
0.0000 0.0000 0.0000
```

Summary:
* Fermi-level density of states: 4.69 states/eV per cell
* formation enthalpy at 0 K: -63 meV per atom
* ΔE to the lowest computed polymorph: 7.94 kJ per mole of atoms
* SG: Cmmm (65)

=====

# 4
First-principles (PBE) data for a relaxed Tb2InRh crystal, as listed in Alexandria via LeMat-Bulk.

```
Tb2InRh
1.0
-2.3235 -0.7762 -2.9622
-0.0716 -3.5333 -1.5121
-6.8184 -3.5751 3.7909
Tb Rh In
2 1 1
direct
0.2660 0.2660 0.2019
0.7340 0.7340 0.7981
0.0000 0.0000 0.0000
0.5000 0.5000 0.5000
```

Summary:
* Fermi-level density of states: 2.29 states/eV per cell
* formation enthalpy at 0 K: -530 meV per atom
* ΔE to the lowest computed polymorph: 13.07 kJ per mole of atoms
* SG: R-3m (166)

=====

# 5
First-principles (PBE) data for a relaxed PmCu4Hg crystal, as listed in Alexandria via LeMat-Bulk.

```
PmCu4Hg
1.0
5.1708 0.0000 0.0000
2.5854 4.4781 0.0000
2.5854 1.4927 4.2220
Pm Cu Hg
1 4 1
direct
0.2500 0.2500 0.2500
0.6262 0.6262 0.1213
0.6262 0.1213 0.6262
0.6262 0.6262 0.6262
0.1213 0.6262 0.6262
0.0000 0.0000 0.0000
```

Summary:
* Fermi-level density of states: 5.85 states/eV per cell
* formation enthalpy at 0 K: -206 meV per atom
* SG: F-43m (216)

=====

# 6
First-principles (PBE) data for a relaxed Y2Te2I crystal, as listed in Alexandria via LeMat-Bulk.

```
Y2Te2I
1.0
-4.6320 7.2055 2.8670
-6.5364 -5.4246 3.0729
1.7501 -0.2092 3.3533
I Y Te
2 4 4
direct
0.5000 0.5000 0.0000
0.0000 0.0000 0.0000
0.1526 0.6526 0.5000
0.3474 0.1526 0.5000
0.8474 0.3474 0.5000
0.6526 0.8474 0.5000
0.1330 0.3670 0.0000
0.8670 0.6330 0.0000
0.3670 0.8670 0.0000
0.6330 0.1330 0.0000
```

Summary:
* Fermi-level density of states: 5.91 states/eV per cell
* uncorrected formation energy: -0.982 eV per atom
* ΔE to the lowest computed polymorph: 37.15 kJ per mole of atoms
* SG: P4/mbm (127)

=====

# 7
First-principles (PBE) data for a relaxed Sm2DyAg crystal, as listed in Alexandria via LeMat-Bulk.

```
Sm2DyAg
1.0
-3.0504 -1.7659 4.1538
1.6538 -4.2499 2.9801
1.6788 0.7569 5.1270
Ag Dy Sm
1 1 2
direct
0.5000 0.5000 0.5000
0.0000 0.0000 0.0000
0.7500 0.7500 0.7500
0.2500 0.2500 0.2500
```

Summary:
* Fermi-level density of states: 4.37 states/eV per cell
* formation enthalpy at 0 K: 66 meV per atom
* ΔE to the lowest computed polymorph: 16.83 kJ per mole of atoms
* SG: Fm-3m (225)

=====

# 8
First-principles (PBE) data for a relaxed Tm2TcH8 crystal, as listed in Alexandria via LeMat-Bulk.

```
Tm2TcH8
1.0
-2.9782 0.4831 1.5392
0.1521 -3.9374 1.5301
4.4421 3.8627 3.6562
Tm H Tc
2 8 1
direct
0.1457 0.6462 0.2913
0.8543 0.3538 0.7087
0.6145 0.3410 0.2290
0.6151 0.8915 0.2302
0.7605 0.7602 0.5210
0.3855 0.6590 0.7710
0.2395 0.2398 0.4790
0.0001 0.2220 0.0001
0.0000 0.7780 0.9999
0.3849 0.1085 0.7698
0.5000 0.0000 0.0000
```

Summary:
* Fermi-level density of states: 2.07 states/eV per cell
* SG: C2/m (12)
* energy: -0.16893 hartree per atom

=====

# 9
First-principles (PBE) data for a relaxed Pm2Ho12Tm crystal, as listed in Alexandria via LeMat-Bulk.

```
Pm2Ho12Tm
1.0
-2.5308 -0.2505 -6.1163
-5.5034 -3.6368 -0.6028
-11.0618 21.9301 0.5394
Ho Tm Pm
24 2 4
direct
0.4960 0.5040 0.6709
0.9960 0.0040 0.6709
0.3328 0.6672 0.5555
0.1488 0.3512 0.1330
0.8945 0.1055 0.8090
0.8196 0.6804 0.5726
0.3945 0.6055 0.8090
0.1804 0.3196 0.4274
0.6804 0.8196 0.4274
0.3512 0.1488 0.8670
0.0040 0.9960 0.3291
0.6672 0.3328 0.4445
0.6055 0.3945 0.1910
0.5040 0.4960 0.3291
0.3196 0.1804 0.5726
0.0493 0.9507 0.9345
0.5493 0.4507 0.9345
0.8512 0.6488 0.8670
0.1055 0.8945 0.1910
0.8328 0.1672 0.5555
0.1672 0.8328 0.4445
0.4507 0.5493 0.0655
0.9507 0.0493 0.0655
0.6488 0.8512 0.1330
0.5000 0.0000 0.0000
0.0000 0.5000 0.0000
0.5417 0.9583 0.2785
0.0417 0.4583 0.2785
0.4583 0.0417 0.7215
0.9583 0.5417 0.7215
```

Summary:
* Fermi-level density of states: 50.82 states/eV per cell
* formation enthalpy at 0 K: 106 meV per atom
* SG: P2/m (10)